Entry 1:
# CdFePdAu

A relaxed structure of CdFePdAu (PBE, Alexandria via LeMat-Bulk).

space group = F-43m (216)
energy of formation from the pure elements = -0.005 eV per atom
total moment = 3.1 Bohr magnetons per cell

Unit cell a=4.5491 b=4.5491 c=4.5491 alpha=60.00 beta=60.00 gamma=60.00
Closest atoms and distances in Å follow each position.
Fractional positions:
Cd 0.0000 0.0000 0.0000  4 Pd 2.79, 4 Au 2.79
Fe 0.5000 0.5000 0.5000  4 Au 2.79, 4 Pd 2.79
Pd 0.7500 0.7500 0.7500  4 Fe 2.79, 4 Cd 2.79
Au 0.2500 0.2500 0.2500  4 Fe 2.79, 4 Cd 2.79

=====

Entry 2:
# ReP2NCl

A relaxed structure of ReP2NCl (PBE, Alexandria via LeMat-Bulk).

excess energy over the best structure of this formula in the dataset = 0 meV per atom
space group = P4/mmm (123)
formation energy (no corrections) = 1.3409 eV per atom
total moment = 2.5 Bohr magnetons per cell

Unit cell a=4.5586 b=4.5586 c=5.1667 alpha=90.00 beta=90.00 gamma=90.00
Closest atoms and distances in Å follow each position.
Fractional positions:
Re 0.0000 0.0000 0.0000  4 P 2.28
P 0.0000 0.5000 0.0000  2 Re 2.28
P 0.5000 0.0000 0.0000  2 Re 2.28
N 0.5000 0.5000 0.5000  4 Cl 3.22, 8 P 3.45
Cl 0.0000 0.0000 0.5000  2 Re 2.58

=====

Entry 3:
# LaAgH2Au

A relaxed structure of LaAgH2Au (PBE, Alexandria via LeMat-Bulk).

space group = P4/mmm (123)
total moment = 0.0 Bohr magnetons per cell
E = -3.445 eV per atom

Unit cell a=4.2065 b=4.2065 c=6.0531 alpha=90.00 beta=90.00 gamma=90.00
Closest atoms and distances in Å follow each position.
Fractional positions:
La 0.0000 0.0000 0.0000  4 H 2.10
Ag 0.0000 0.0000 0.5000  4 Au 2.97, 2 La 3.03
H 0.0000 0.5000 0.0000  2 La 2.10
H 0.5000 0.0000 0.0000  2 La 2.10
Au 0.5000 0.5000 0.5000  4 Ag 2.97

=====

Q: Number 3 is which compound?
A: LaAgH2Au

=====

Q: Among the records above, which one has the highest total moment?
A: CdFePdAu

=====

Q: Look up the total moment of the third one.
A: 0.0 Bohr magnetons per cell